[1]
A relaxed structure of Ba3Sm3TmSe8. Source: Alexandria, functional PBE.

Summary:
ρ ... 5.79 g/cm³
Total magnetic moment ... 0.00 μB per atom
Volume ... 477 Å³ per cell
Crystal system ... trigonal
Uncorrected energy ... -81.2 eV/cell

Structure (CIF):
```
data_Ba3Sm3TmSe8
_chemical_formula_sum 'Ba3 Sm3 Tm1 Se8'
_symmetry_space_group_name_H-M 'P 1'
_symmetry_Int_Tables_number 1
_symmetry_space_group_name_Hall 'P 1'
_cell_length_a 8.541
_cell_length_b 8.538
_cell_length_c 9.019
_cell_angle_alpha 118.22
_cell_angle_beta 90.00
_cell_angle_gamma 120.01
loop_
_atom_site_label
_atom_site_type_symbol
_atom_site_fract_x
_atom_site_fract_y
_atom_site_fract_z
Ba1 Ba 0.000 0.500 0.000
Ba2 Ba 0.000 0.000 0.000
Ba3 Ba 0.500 0.500 0.000
Se1 Se 0.745 0.978 0.712
Se2 Se 0.255 0.022 0.288
Se3 Se 0.767 0.533 0.289
Se4 Se 0.233 0.978 0.712
Se5 Se 0.233 0.467 0.711
Se6 Se 0.767 0.022 0.288
Se7 Se 0.260 0.520 0.281
Se8 Se 0.740 0.480 0.719
Sm1 Sm 0.000 0.500 0.500
Sm2 Sm 0.500 0.000 0.500
Sm3 Sm 0.500 0.500 0.500
Tm1 Tm 0.000 0.000 0.500
```

[2]
A relaxed structure of Ba2SmTmSe4. Source: Alexandria, functional PBE.

Summary:
ρ ... 6.38 g/cm³
Total magnetic moment ... 0.00 μB per atom
Volume ... 237 Å³ per cell
Crystal system ... monoclinic
Uncorrected energy ... -41.9 eV/cell

Structure (CIF):
```
data_Ba2SmTmSe4
_chemical_formula_sum 'Ba2 Sm1 Tm1 Se4'
_symmetry_space_group_name_H-M 'P 1'
_symmetry_Int_Tables_number 1
_symmetry_space_group_name_Hall 'P 1'
_cell_length_a 4.305
_cell_length_b 7.450
_cell_length_c 7.794
_cell_angle_alpha 108.61
_cell_angle_beta 90.00
_cell_angle_gamma 90.00
loop_
_atom_site_label
_atom_site_type_symbol
_atom_site_fract_x
_atom_site_fract_y
_atom_site_fract_z
Ba1 Ba 0.000 0.500 0.500
Ba2 Ba 0.500 0.000 0.500
Se1 Se 0.000 0.746 0.215
Se2 Se 0.000 0.254 0.785
Se3 Se 0.500 0.230 0.211
Se4 Se 0.500 0.770 0.789
Sm1 Sm 0.500 0.500 0.000
Tm1 Tm 0.000 0.000 0.000
```

[3]
A relaxed structure of BaSmTm4Se8. Source: Alexandria, functional PBE.

Summary:
ρ ... 5.96 g/cm³
Total magnetic moment ... 0.00 μB per atom
Volume ... 444 Å³ per cell
Crystal system ... trigonal
Uncorrected energy ... -76.9 eV/cell

Structure (CIF):
```
data_BaSmTm4Se8
_chemical_formula_sum 'Ba1 Sm1 Tm4 Se8'
_symmetry_space_group_name_H-M 'P 1'
_symmetry_Int_Tables_number 1
_symmetry_space_group_name_Hall 'P 1'
_cell_length_a 8.513
_cell_length_b 8.513
_cell_length_c 8.615
_cell_angle_alpha 60.39
_cell_angle_beta 60.39
_cell_angle_gamma 60.00
loop_
_atom_site_label
_atom_site_type_symbol
_atom_site_fract_x
_atom_site_fract_y
_atom_site_fract_z
Tm1 Tm 0.625 0.625 0.124
Tm2 Tm 0.001 0.496 0.502
Tm3 Tm 0.496 0.001 0.502
Tm4 Tm 0.001 0.001 0.502
Se1 Se 0.801 0.238 0.722
Se2 Se 0.231 0.231 0.307
Se3 Se 0.238 0.801 0.722
Se4 Se 0.232 0.752 0.264
Se5 Se 0.752 0.752 0.264
Se6 Se 0.752 0.232 0.264
Se7 Se 0.757 0.757 0.728
Se8 Se 0.238 0.238 0.722
Ba1 Ba 0.372 0.372 0.884
Sm1 Sm 0.002 0.002 0.994
```

[4]
A relaxed structure of Ba3SmY3Se8. Source: Alexandria, functional PBE.

Summary:
ρ ... 5.20 g/cm³
Total magnetic moment ... 0.00 μB per atom
Volume ... 467 Å³ per cell
Crystal system ... trigonal
Uncorrected energy ... -86.7 eV/cell

Structure (CIF):
```
data_Ba3SmY3Se8
_chemical_formula_sum 'Ba3 Sm1 Y3 Se8'
_symmetry_space_group_name_H-M 'P 1'
_symmetry_Int_Tables_number 1
_symmetry_space_group_name_Hall 'P 1'
_cell_length_a 8.465
_cell_length_b 8.465
_cell_length_c 8.970
_cell_angle_alpha 118.16
_cell_angle_beta 90.00
_cell_angle_gamma 120.00
loop_
_atom_site_label
_atom_site_type_symbol
_atom_site_fract_x
_atom_site_fract_y
_atom_site_fract_z
Se1 Se 0.759 0.517 0.286
Se2 Se 0.241 0.483 0.714
Se3 Se 0.758 0.027 0.286
Se4 Se 0.269 0.027 0.286
Se5 Se 0.242 0.973 0.714
Se6 Se 0.738 0.476 0.714
Se7 Se 0.731 0.973 0.714
Se8 Se 0.262 0.524 0.286
Ba1 Ba 0.500 0.500 0.000
Ba2 Ba 0.000 0.000 0.000
Ba3 Ba 0.000 0.500 0.000
Y1 Y 0.000 0.500 0.500
Y2 Y 0.500 0.000 0.500
Y3 Y 0.500 0.500 0.500
Sm1 Sm 0.000 0.000 0.500
```

[5]
A relaxed structure of Ba3Sm2YSe6. Source: Alexandria, functional PBE.

Summary:
ρ ... 5.86 g/cm³
Total magnetic moment ... 0.00 μB per atom
Volume ... 362 Å³ per cell
Crystal system ... monoclinic
Uncorrected energy ... -65.4 eV/cell

Structure (CIF):
```
data_Ba3Sm2YSe6
_chemical_formula_sum 'Ba3 Sm2 Y1 Se6'
_symmetry_space_group_name_H-M 'P 1'
_symmetry_Int_Tables_number 1
_symmetry_space_group_name_Hall 'P 1'
_cell_length_a 7.510
_cell_length_b 7.510
_cell_length_c 7.811
_cell_angle_alpha 99.25
_cell_angle_beta 99.25
_cell_angle_gamma 119.94
loop_
_atom_site_label
_atom_site_type_symbol
_atom_site_fract_x
_atom_site_fract_y
_atom_site_fract_z
Sm1 Sm 0.666 0.334 0.000
Sm2 Sm 0.334 0.666 0.000
Ba1 Ba 0.500 0.500 0.500
Ba2 Ba 0.168 0.832 0.500
Ba3 Ba 0.832 0.168 0.500
Se1 Se 0.256 0.256 0.782
Se2 Se 0.072 0.401 0.216
Se3 Se 0.744 0.744 0.218
Se4 Se 0.599 0.928 0.784
Se5 Se 0.401 0.072 0.216
Se6 Se 0.928 0.599 0.784
Y1 Y 0.000 0.000 0.000
```

[6]
A relaxed structure of BaSmY4Se8. Source: Alexandria, functional PBE.

Summary:
ρ ... 4.63 g/cm³
Total magnetic moment ... 0.00 μB per atom
Volume ... 457 Å³ per cell
Crystal system ... trigonal
Uncorrected energy ... -85.4 eV/cell

Structure (CIF):
```
data_BaSmY4Se8
_chemical_formula_sum 'Ba1 Sm1 Y4 Se8'
_symmetry_space_group_name_H-M 'P 1'
_symmetry_Int_Tables_number 1
_symmetry_space_group_name_Hall 'P 1'
_cell_length_a 8.618
_cell_length_b 8.618
_cell_length_c 8.675
_cell_angle_alpha 60.22
_cell_angle_beta 60.22
_cell_angle_gamma 60.00
loop_
_atom_site_label
_atom_site_type_symbol
_atom_site_fract_x
_atom_site_fract_y
_atom_site_fract_z
Y1 Y 0.625 0.625 0.124
Y2 Y 0.001 0.496 0.502
Y3 Y 0.001 0.001 0.502
Y4 Y 0.496 0.001 0.502
Se1 Se 0.755 0.755 0.261
Se2 Se 0.800 0.236 0.727
Se3 Se 0.236 0.236 0.727
Se4 Se 0.757 0.757 0.728
Se5 Se 0.755 0.230 0.261
Se6 Se 0.232 0.232 0.304
Se7 Se 0.230 0.755 0.261
Se8 Se 0.236 0.800 0.727
Ba1 Ba 0.373 0.373 0.880
Sm1 Sm 0.002 0.002 0.994
```

[7]
A relaxed structure of Ba3Sm3YSe8. Source: Alexandria, functional PBE.

Summary:
ρ ... 5.49 g/cm³
Total magnetic moment ... 0.00 μB per atom
Volume ... 479 Å³ per cell
Crystal system ... trigonal
Uncorrected energy ... -83.4 eV/cell

Structure (CIF):
```
data_Ba3Sm3YSe8
_chemical_formula_sum 'Ba3 Sm3 Y1 Se8'
_symmetry_space_group_name_H-M 'P 1'
_symmetry_Int_Tables_number 1
_symmetry_space_group_name_Hall 'P 1'
_cell_length_a 8.558
_cell_length_b 8.555
_cell_length_c 9.022
_cell_angle_alpha 118.28
_cell_angle_beta 90.00
_cell_angle_gamma 120.01
loop_
_atom_site_label
_atom_site_type_symbol
_atom_site_fract_x
_atom_site_fract_y
_atom_site_fract_z
Ba1 Ba 0.000 0.000 0.000
Ba2 Ba 0.000 0.500 0.000
Ba3 Ba 0.500 0.500 0.000
Sm1 Sm 0.500 0.000 0.500
Sm2 Sm 0.000 0.500 0.500
Sm3 Sm 0.500 0.500 0.500
Se1 Se 0.260 0.520 0.281
Se2 Se 0.236 0.472 0.714
Se3 Se 0.764 0.528 0.286
Se4 Se 0.258 0.022 0.286
Se5 Se 0.236 0.978 0.714
Se6 Se 0.740 0.480 0.719
Se7 Se 0.742 0.978 0.714
Se8 Se 0.764 0.022 0.286
Y1 Y 0.000 0.000 0.500
```

[8]
A relaxed structure of Ba2SmZnSe5. Source: Alexandria, functional PBE.

Summary:
ρ ... 5.40 g/cm³
Total magnetic moment ... 0.00 μB per atom
Volume ... 545 Å³ per cell
Crystal system ... orthorhombic
Uncorrected energy ... -82.2 eV/cell

Structure (CIF):
```
data_Ba2SmZnSe5
_chemical_formula_sum 'Ba4 Sm2 Zn2 Se10'
_symmetry_space_group_name_H-M 'P 1'
_symmetry_Int_Tables_number 1
_symmetry_space_group_name_Hall 'P 1'
_cell_length_a 4.321
_cell_length_b 9.663
_cell_length_c 13.386
_cell_angle_alpha 90.00
_cell_angle_beta 90.00
_cell_angle_gamma 102.92
loop_
_atom_site_label
_atom_site_type_symbol
_atom_site_fract_x
_atom_site_fract_y
_atom_site_fract_z
Se1 Se 0.503 0.005 0.269
Se2 Se 0.650 0.300 0.514
Se3 Se 0.688 0.375 0.871
Se4 Se 0.302 0.603 0.668
Se5 Se 0.698 0.397 0.168
Se6 Se 0.312 0.625 0.371
Se7 Se 0.350 0.700 0.014
Se8 Se 0.039 0.078 0.026
Se9 Se 0.497 0.995 0.769
Se10 Se 0.961 0.922 0.526
Sm1 Sm 0.801 0.602 0.522
Sm2 Sm 0.199 0.398 0.022
Ba1 Ba 0.881 0.762 0.192
Ba2 Ba 0.875 0.750 0.832
Ba3 Ba 0.119 0.238 0.692
Ba4 Ba 0.125 0.250 0.332
Zn1 Zn 0.443 0.886 0.431
Zn2 Zn 0.557 0.114 0.931
```

| no. | formation energy from raw total energies (eV per atom) |
| --- | --- |
| 1 | -1.931 |
| 2 | -1.870 |
| 3 | -1.747 |
| 4 | -1.932 |
| 5 | -1.900 |
| 6 | -1.788 |
| 7 | -1.939 |
| 8 | -1.537 |